First-principles (PBE) data for a relaxed RbPaBi2 crystal, as listed in Alexandria via LeMat-Bulk.

Energy above the lowest structure with this stoichiometry in meV/atom: 0
DFT formation energy in kcal/mol of atoms: -5.4

Cell: 9.0365 9.0365 9.0365 Å, 29.95 29.95 29.95°
Sites, in units of the cell vectors:
1 Rb 0.0000 0.0000 0.0000
2 Pa 0.5000 0.5000 0.5000
3 Bi 0.2296 0.2296 0.2296
4 Bi 0.7704 0.7704 0.7704

First-principles (PBE) data for a relaxed RbPaBi2 crystal, as listed in Alexandria via LeMat-Bulk.

Energy above the lowest structure with this stoichiometry in meV/atom: 50
DFT formation energy in kcal/mol of atoms: -4.3

Cell: 3.7428 3.7428 9.7607 Å, 90.00 90.00 90.00°
Sites, in units of the cell vectors:
1 Rb 0.0000 0.0000 0.0000
2 Pa 0.0000 0.0000 0.5000
3 Bi 0.5000 0.5000 0.2856
4 Bi 0.5000 0.5000 0.7144

First-principles (PBE) data for a relaxed RbPaBi2 crystal, as listed in Alexandria via LeMat-Bulk.

Energy above the lowest structure with this stoichiometry in meV/atom: 15
DFT formation energy in kcal/mol of atoms: -5.1

Cell: 9.1581 9.1581 9.1581 Å, 29.44 29.44 29.44°
Sites, in units of the cell vectors:
1 Rb 0.0000 0.0000 0.0000
2 Pa 0.1695 0.1695 0.1695
3 Bi 0.5653 0.5653 0.5653
4 Bi 0.7732 0.7732 0.7732

First-principles (PBE) data for a relaxed RbPaBi3 crystal, as listed in Alexandria via LeMat-Bulk.

DFT formation energy in kcal/mol of atoms: 0.1

Cell: 6.0808 6.0808 6.0808 Å, 90.00 90.00 90.00°
Sites, in units of the cell vectors:
1 Rb 0.0000 0.0000 0.0000
2 Pa 0.5000 0.5000 0.5000
3 Bi 0.0000 0.5000 0.5000
4 Bi 0.5000 0.0000 0.5000
5 Bi 0.5000 0.5000 0.0000

First-principles (PBE) data for a relaxed RbPaBi crystal, as listed in Alexandria via LeMat-Bulk.

DFT formation energy in kcal/mol of atoms: 1.9

Cell: 15.2548 15.2548 15.2548 Å, 16.62 16.62 16.62°
Sites, in units of the cell vectors:
1 Rb 0.1176 0.1176 0.1176
2 Rb 0.8824 0.8824 0.8824
3 Pa 0.3198 0.3198 0.3198
4 Pa 0.6802 0.6802 0.6802
5 Bi 0.3915 0.3915 0.3915
6 Bi 0.6085 0.6085 0.6085

First-principles (PBE) data for a relaxed RbPaBiS4 crystal, as listed in Alexandria via LeMat-Bulk.

Energy relative to the elements, uncorrected in eV/atom: -1.1091

Cell: 9.5900 9.5900 9.5900 Å, 138.89 130.13 66.55°
Sites, in units of the cell vectors:
1 Rb 0.4199 0.1699 0.2500
2 Rb 0.5801 0.8301 0.7500
3 Pa 0.0000 0.5000 0.5000
4 Pa 0.5000 0.5000 0.0000
5 Bi 0.0000 0.0000 0.5000
6 Bi 0.0000 0.5000 0.0000
7 S 0.1595 0.6699 0.4896
8 S 0.2483 0.2507 0.5025
9 S 0.2483 0.7458 0.9975
10 S 0.3197 0.3301 0.9896
11 S 0.6803 0.6699 0.0104
12 S 0.7517 0.2542 0.0025
13 S 0.7517 0.7493 0.4975
14 S 0.8405 0.3301 0.5104

First-principles (PBE) data for a relaxed Rb3PaBi2Se6 crystal, as listed in Alexandria via LeMat-Bulk.

Energy relative to the elements, uncorrected in eV/atom: -0.9465

Cell: 7.6753 7.6753 8.2636 Å, 98.85 98.85 119.99°
Sites, in units of the cell vectors:
1 Rb 0.0000 0.0000 0.0000
2 Rb 0.3271 0.6729 0.0000
3 Rb 0.6729 0.3271 0.0000
4 Pa 0.5000 0.5000 0.5000
5 Bi 0.1658 0.8342 0.5000
6 Bi 0.8342 0.1658 0.5000
7 Se 0.1141 0.4345 0.3026
8 Se 0.2466 0.2466 0.6994
9 Se 0.4345 0.1141 0.3026
10 Se 0.5655 0.8859 0.6974
11 Se 0.7534 0.7534 0.3006
12 Se 0.8859 0.5655 0.6974

First-principles (PBE) data for a relaxed Rb2PaBi2Se6 crystal, as listed in Alexandria via LeMat-Bulk.

Energy relative to the elements, uncorrected in eV/atom: -0.9685

Cell: 7.4004 7.4004 8.6190 Å, 98.59 98.59 119.79°
Sites, in units of the cell vectors:
1 Rb 0.1699 0.8301 0.0000
2 Rb 0.8301 0.1699 0.0000
3 Pa 0.0000 0.0000 0.5000
4 Bi 0.3319 0.6681 0.5000
5 Bi 0.6681 0.3319 0.5000
6 Se 0.0671 0.3922 0.6959
7 Se 0.2538 0.2538 0.3048
8 Se 0.3922 0.0671 0.6959
9 Se 0.6078 0.9329 0.3041
10 Se 0.7462 0.7462 0.6952
11 Se 0.9329 0.6078 0.3041